No. 1
DFT (PBE) results for a relaxed NaRuRh crystal. Values from VASP.

Quantum ESPRESSO input file:
```
&SYSTEM
  ibrav = 0, nat = 12, ntyp = 3
/
ATOMIC_SPECIES
Na 22.99 Na.upf
Ru 101.07 Ru.upf
Rh 102.91 Rh.upf
CELL_PARAMETERS angstrom
7.400 0.000 0.000
0.000 4.195 0.000
0.000 0.000 6.945
ATOMIC_POSITIONS crystal
Na 0.002 0.250 0.154
Na 0.498 0.750 0.654
Na 0.502 0.250 0.346
Na 0.998 0.750 0.846
Ru 0.162 0.250 0.593
Ru 0.338 0.750 0.093
Ru 0.662 0.250 0.907
Ru 0.838 0.750 0.407
Rh 0.165 0.750 0.402
Rh 0.335 0.250 0.902
Rh 0.665 0.750 0.098
Rh 0.835 0.250 0.598
```

Calculated values
The electronic total energy is -0.2046 Ha/atom. As for the density of states at the Fermi level: 9.0 states/eV per cell. The calculation puts the total moment at 0.000 μB/atom.

=====

No. 2
DFT (PBE) results for a relaxed SrC5 crystal. Values from VASP.

Quantum ESPRESSO input file:
```
&SYSTEM
  ibrav = 0, nat = 6, ntyp = 2
/
ATOMIC_SPECIES
Sr 87.62 Sr.upf
C 12.01 C.upf
CELL_PARAMETERS angstrom
7.857 -1.291 0.000
7.857 1.291 0.000
-0.004 0.000 3.598
ATOMIC_POSITIONS crystal
Sr 0.000 0.000 0.000
C 0.132 0.132 0.501
C 0.316 0.316 0.500
C 0.404 0.404 0.499
C 0.678 0.678 0.500
C 0.769 0.769 0.500
```

Calculated values
The electronic total energy is -0.2655 Ha/atom. As for the density of states at the Fermi level: 2.3 states/eV per cell. The calculation puts the total moment at 0.000 μB/atom.

=====

No. 3
DFT (PBE) results for a relaxed Ag2HgSe crystal. Values from VASP.

Quantum ESPRESSO input file:
```
&SYSTEM
  ibrav = 0, nat = 4, ntyp = 3
/
ATOMIC_SPECIES
Ag 107.87 Ag.upf
Hg 200.59 Hg.upf
Se 78.96 Se.upf
CELL_PARAMETERS angstrom
4.465 0.000 0.000
0.000 4.801 0.000
-0.584 0.000 4.588
ATOMIC_POSITIONS crystal
Ag 0.000 0.000 0.000
Ag 0.099 0.500 0.376
Hg 0.488 0.000 0.469
Se 0.808 0.500 0.836
```

Calculated values
The electronic total energy is -0.0872 Ha/atom. The raw formation energy comes out at -0.0017 eV per atom. The calculation puts the total moment at 0.000 μB/atom.